# 1
## BaHgSb (GGA-PBEsol)

Data for a relaxed structure of BaHgSb.

Energy   -3.1126 eV per atom
Calculated density   7712 kg/m³
Formation energy (no corrections)   -688 meV/atom
DOS at the Fermi energy   0.574 states/eV per atom

abc: 4.8258 4.8258 4.9079
angles: 90.00 90.00 120.00
Atoms (fractional coordinates):
Ba: 0.0000 0.0000 0.0000
Hg: 0.3333 0.6667 0.6015
Sb: 0.6667 0.3333 0.4483



# 2
## TaMo (GGA-PBEsol)

Data for a relaxed structure of TaMo.

Energy   -12.2675 eV per atom
Formation energy   -0.108 eV per atom
Calculated density   14098 kg/m³
DOS at the Fermi energy   0.764 states/eV per atom

abc: 3.1902 4.5342 9.0184
angles: 90.00 90.00 90.00
Atoms (fractional coordinates):
Ta: 0.0000 0.0000 0.0000
Ta: 0.0000 0.0000 0.4848
Ta: 0.5000 0.0000 0.7420
Ta: 0.5000 0.5000 0.9926
Mo: 0.0000 0.5000 0.2464
Mo: 0.0000 0.5000 0.7364
Mo: 0.5000 0.0000 0.2431
Mo: 0.5000 0.5000 0.4907